# 1
DFT (GGA-PBE) results for CoIr2Se after structural relaxation.

Output
V: 58.56 Å³ per cell
ΔE_f (raw): 0.47 eV per atom
E_tot: -0.243 Ha/atom

Structure (POSCAR):
```
CoIr2Se
1.0
2.773 0.000 0.000
0.000 4.643 0.000
0.000 0.000 4.549
Co Ir Se
1 2 1
Direct
0.000 0.500 0.500
0.000 0.000 0.000
0.500 0.500 0.000
0.500 0.000 0.500
```



# 2
DFT (GGA-PBE) results for MnZnSe after structural relaxation.

Output
V: 52.02 Å³ per cell
ΔE_f (raw): 0.06 eV per atom
E_tot: -0.169 Ha/atom

Structure (POSCAR):
```
MnZnSe
1.0
-3.604 -1.604 4.204
-0.730 -1.868 5.405
-0.485 2.562 1.724
Mn Se Zn
1 1 1
Direct
0.990 0.990 0.010
0.371 0.371 0.629
0.639 0.639 0.361
```



# 3
DFT (GGA-PBE) results for CdPW2 after structural relaxation.

Output
energy relative to the elements: 0.387 eV per atom
V: 69.21 Å³ per cell
E_tot: -0.282 Ha/atom

Structure (POSCAR):
```
CdPW2
1.0
4.490 0.000 0.000
0.000 2.965 0.008
0.000 1.472 5.203
Cd P W
1 1 2
Direct
0.000 0.557 0.511
0.500 0.907 0.814
0.000 0.818 0.984
0.500 0.219 0.190
```



# 4
DFT (GGA-PBE) results for CaTc2As after structural relaxation.

Output
energy relative to the elements: 0.271 eV per atom
V: 72.65 Å³ per cell
E_tot: -0.242 Ha/atom

Structure (POSCAR):
```
CaTc2As
1.0
8.902 0.000 0.000
8.362 3.054 0.000
8.362 1.479 2.672
As Ca Tc
1 1 2
Direct
0.513 0.513 0.513
0.748 0.748 0.748
0.991 0.991 0.991
0.248 0.248 0.248
```



# 5
DFT (GGA-PBE) results for Ba2InGa7 after structural relaxation.

Output
energy relative to the elements: -0.423 eV per atom
V: 241.84 Å³ per cell
E_tot: -0.118 Ha/atom

Structure (POSCAR):
```
Ba2InGa7
1.0
-0.523 -3.947 2.481
4.420 -1.214 -1.001
3.475 5.213 9.025
Ba In Ga
2 1 7
Direct
0.500 0.000 0.741
0.000 0.500 0.259
0.500 0.500 0.000
0.000 0.500 0.861
0.500 0.000 0.378
0.500 0.000 0.139
0.000 0.500 0.622
0.000 0.000 0.500
0.000 0.000 0.000
0.500 0.500 0.500
```



# 6
DFT (GGA-PBE) results for SrYIr after structural relaxation.

Output
energy relative to the elements: -0.312 eV per atom
V: 100.13 Å³ per cell
E_tot: -0.220 Ha/atom

Structure (POSCAR):
```
SrYIr
1.0
-3.358 -0.958 -2.278
3.703 0.491 -1.851
1.278 -6.474 0.839
Ir Sr Y
1 1 1
Direct
0.000 0.000 0.974
0.667 0.333 0.247
0.333 0.667 0.779
```